DFT (PBE-GGA) results for a relaxed La8Ir3RhI4 crystal.

For the raw total energy, the calculation gives -0.223 Ha/atom. As for the uncorrected formation energy: -1.0954 eV/atom.

The structure belongs to space group R-3m (No. 166, hexagonal axes); the cell edges are 8.5143, 8.5143 and 24.7708 Å and the angles 90.00°, 90.00° and 120.00°. Symmetry generates all atoms from La at (0.0000, 0.0000, 0.2282), La at (0.0017, 0.5009, 0.7718), Ir at (0.0000, 0.5000, 0.5000), Rh at (0.0000, 0.0000, 0.5000), I at (0.0000, 0.0000, 0.0000) and I at (0.0000, 0.5000, 0.0000).